1.
Below is a relaxed structure of Sm2Ho4H, with properties calculated at the PBE level.

Values from the calculation:
* SG: No. 139
* DOS at the Fermi energy: 7.4 states/eV/cell
* calculated volume: 201 Å³/cell
* total energy: -4.381 eV/atom

```
Sm2Ho4H
1.0
4.8407 0.0000 0.0000
0.0000 4.8407 0.0000
2.4204 2.4204 8.5873
Ho Sm H
4 2 1
Direct
0.1486 0.1486 0.7028 Ho
0.8514 0.8514 0.2972 Ho
0.5000 0.0000 0.0000 Ho
0.0000 0.5000 0.0000 Ho
0.6485 0.6485 0.7031 Sm
0.3515 0.3515 0.2969 Sm
0.0000 0.0000 0.0000 H
```

2.
Below is a relaxed structure of Sm4Ho2H, with properties calculated at the PBE level.

Values from the calculation:
* SG: No. 139
* DOS at the Fermi energy: 8.2 states/eV/cell
* calculated volume: 208 Å³/cell
* total energy: -4.407 eV/atom

```
Sm4Ho2H
1.0
-2.0444 4.1569 1.6065
-4.4057 -2.1516 -0.0392
-2.0389 -1.5750 8.9631
Sm H Ho
4 1 2
Direct
0.0000 0.5000 0.0000 Sm
0.8478 0.8478 0.3045 Sm
0.1522 0.1522 0.6955 Sm
0.5000 0.0000 0.0000 Sm
0.0000 0.0000 0.0000 H
0.6457 0.6457 0.7085 Ho
0.3543 0.3543 0.2915 Ho
```